(1)
Material: CePuGe2Ru
Method: DFT, PBE
State: relaxed

Computed properties:
Space group   I-4m2, No. 119
DFT formation energy   -0.422 eV/atom

Cell: 6.9506 6.9506 6.9506 Å, 145.64 145.64 49.38°
Fractional positions:
Ce: 0.0000 0.0000 0.0000
Pu: 0.2500 0.7500 0.5000
Ge: 0.4027 0.4027 0.0000
Ge: 0.5973 0.5973 0.0000
Ru: 0.7500 0.2500 0.5000



(2)
Material: BeSb2TeRh
Method: DFT, PBE
State: relaxed

Computed properties:
Distance to the lowest polymorph of the same formula   0 meV/atom
Formation energy (no corrections)   678 meV per atom
Space group   P4/mmm, No. 123

Cell: 4.7207 4.7207 4.9650 Å, 90.00 90.00 90.00°
Fractional positions:
Be: 0.0000 0.0000 0.0000
Sb: 0.0000 0.5000 0.0000
Sb: 0.5000 0.0000 0.0000
Te: 0.0000 0.0000 0.5000
Rh: 0.5000 0.5000 0.5000